Material: Pa2BeFeO8
Method: DFT, GGA+U
State: optimized geometry

Values from the calculation:
total energy: -0.297 Ha/atom

CIF file:
```
data_Pa2BeFeO8
_symmetry_space_group_name_H-M 'P -3 m 1'
_symmetry_Int_Tables_number 164
_symmetry_space_group_name_Hall '-P 3 2"'
_cell_length_a 6.2502
_cell_length_b 6.2502
_cell_length_c 4.5628
_cell_angle_alpha 90.00
_cell_angle_beta 90.00
_cell_angle_gamma 120.00
loop_
_atom_site_label
_atom_site_fract_x
_atom_site_fract_y
_atom_site_fract_z
Pa1 0.3333 0.6667 0.2435
Be1 0.0000 0.0000 0.0000
Fe1 0.0000 0.0000 0.5000
O1 0.1396 0.2792 0.2319
O2 0.3333 0.6667 0.7108
```